La2Ga3Hg3: optimized geometry, PBE.

a = 6.8413 Å, b = 6.8413 Å, c = 4.8013 Å
α = 90.00°, β = 90.00°, γ = 120.00°
Space group P-6m2 (No. 187)
One atom of each set of equivalent atoms:
La  0.0000  0.0000  0.0000 (multiplicity 1)
La  0.3333  0.6667  0.5000 (multiplicity 1)
Ga  0.3848  0.1924  0.5000 (multiplicity 3)
Hg  0.5100  0.0201  0.0000 (multiplicity 3)

Computed properties:
Magnetization ... 0.0 μB/cell
Density ... 9.3 Mg/m³
Polymorph energy (0 for the lowest one) ... 0 meV per atom
V ... 195 Å³ per cell
Crystal system ... hexagonal
E_tot ... -23.523 eV/cell